# LiSn4P3O12

An optimized crystal structure of LiSn4P3O12 (PBE-GGA, Alexandria).

Summary:
symmetry = P6_3 (173)
formation energy without anion corrections = -1914 meV/atom
offset from the most stable computed form = 7 meV per atom
spin magnetization = 0.00 μB/cell

a b c (Å): 9.940 9.940 7.433
angles (deg): 90.00 90.00 120.00
Positions (direct):
O (0.595, 0.120, 0.288)
O (0.150, 0.516, 0.224)
O (0.525, 0.405, 0.288)
O (0.638, 0.909, 0.614)
O (0.405, 0.880, 0.788)
O (0.120, 0.525, 0.788)
O (0.850, 0.484, 0.724)
O (0.662, 0.965, 0.944)
O (0.475, 0.595, 0.788)
O (0.880, 0.475, 0.288)
O (0.484, 0.633, 0.224)
O (0.729, 0.638, 0.114)
O (0.338, 0.035, 0.444)
O (0.362, 0.091, 0.114)
O (0.909, 0.271, 0.114)
O (0.303, 0.338, 0.944)
O (0.367, 0.850, 0.224)
O (0.697, 0.662, 0.444)
O (0.091, 0.729, 0.614)
O (0.965, 0.303, 0.444)
O (0.516, 0.367, 0.724)
O (0.271, 0.362, 0.614)
O (0.633, 0.150, 0.724)
O (0.035, 0.697, 0.944)
Li (0.333, 0.667, 0.921)
Li (0.667, 0.333, 0.421)
Sn (0.753, 0.034, 0.216)
Sn (0.247, 0.966, 0.716)
Sn (0.333, 0.667, 0.416)
Sn (0.719, 0.753, 0.716)
Sn (0.034, 0.281, 0.716)
Sn (0.667, 0.333, 0.916)
Sn (0.966, 0.719, 0.216)
Sn (0.281, 0.247, 0.216)
P (0.394, 0.414, 0.768)
P (0.020, 0.606, 0.768)
P (0.414, 0.020, 0.268)
P (0.606, 0.586, 0.268)
P (0.586, 0.980, 0.768)
P (0.980, 0.394, 0.268)

# Ga3Ge5I12

An optimized crystal structure of Ga3Ge5I12 (PBE-GGA, Alexandria).

Summary:
symmetry = Ia-3d (230)
formation energy without anion corrections = -153 meV/atom
spin magnetization = 0.00 μB/cell

a b c (Å): 16.307 16.307 16.307
angles (deg): 109.47 109.47 109.47
Positions (direct):
I (0.967, 0.587, 0.175)
I (0.088, 0.913, 0.379)
I (0.621, 0.587, 0.912)
I (0.467, 0.675, 0.087)
I (0.912, 0.825, 0.792)
I (0.087, 0.175, 0.467)
I (0.825, 0.912, 0.292)
I (0.088, 0.175, 0.208)
I (0.675, 0.467, 0.587)
I (0.792, 0.467, 0.379)
I (0.413, 0.033, 0.325)
I (0.292, 0.412, 0.825)
I (0.325, 0.533, 0.413)
I (0.033, 0.621, 0.708)
I (0.675, 0.208, 0.588)
I (0.621, 0.033, 0.208)
I (0.792, 0.325, 0.912)
I (0.121, 0.412, 0.087)
I (0.208, 0.675, 0.088)
I (0.879, 0.588, 0.913)
I (0.412, 0.121, 0.587)
I (0.412, 0.292, 0.325)
I (0.879, 0.292, 0.467)
I (0.467, 0.792, 0.879)
I (0.413, 0.379, 0.588)
I (0.533, 0.325, 0.913)
I (0.967, 0.379, 0.292)
I (0.087, 0.912, 0.121)
I (0.708, 0.121, 0.033)
I (0.175, 0.088, 0.708)
I (0.121, 0.708, 0.533)
I (0.708, 0.588, 0.175)
I (0.033, 0.413, 0.825)
I (0.208, 0.533, 0.621)
I (0.913, 0.825, 0.533)
I (0.292, 0.879, 0.967)
I (0.912, 0.087, 0.621)
I (0.587, 0.967, 0.675)
I (0.588, 0.879, 0.413)
I (0.825, 0.913, 0.033)
I (0.325, 0.792, 0.412)
I (0.913, 0.088, 0.879)
I (0.379, 0.967, 0.792)
I (0.379, 0.413, 0.088)
I (0.587, 0.621, 0.412)
I (0.588, 0.708, 0.675)
I (0.175, 0.087, 0.967)
I (0.533, 0.208, 0.121)
Ga (0.250, 0.625, 0.875)
Ga (0.625, 0.250, 0.375)
Ga (0.750, 0.375, 0.125)
Ga (0.375, 0.625, 0.250)
Ga (0.625, 0.375, 0.750)
Ga (0.250, 0.125, 0.375)
Ga (0.375, 0.750, 0.625)
Ga (0.750, 0.875, 0.625)
Ga (0.875, 0.750, 0.125)
Ga (0.875, 0.125, 0.250)
Ga (0.125, 0.875, 0.750)
Ga (0.125, 0.250, 0.875)
Ge (0.750, 0.625, 0.375)
Ge (0.875, 0.625, 0.750)
Ge (0.500, 0.500, 0.000)
Ge (0.250, 0.875, 0.125)
Ge (0.000, 0.000, 0.500)
Ge (0.625, 0.750, 0.875)
Ge (0.125, 0.750, 0.375)
Ge (0.500, 0.000, 0.000)
Ge (0.375, 0.125, 0.750)
Ge (0.000, 0.500, 0.500)
Ge (0.250, 0.375, 0.625)
Ge (0.375, 0.250, 0.125)
Ge (0.125, 0.375, 0.250)
Ge (0.750, 0.125, 0.875)
Ge (0.625, 0.875, 0.250)
Ge (0.000, 0.000, 0.000)
Ge (0.875, 0.250, 0.625)
Ge (0.500, 0.500, 0.500)
Ge (0.500, 0.000, 0.500)
Ge (0.000, 0.500, 0.000)

# ScUTc4

An optimized crystal structure of ScUTc4 (PBE-GGA, Alexandria).

Summary:
symmetry = F-43m (216)
offset from the most stable computed form = 0 meV per atom
E_form = -24 meV per atom
spin magnetization = 1.78 μB/cell

a b c (Å): 5.309 5.309 5.309
angles (deg): 60.00 60.00 60.00
Positions (direct):
Tc (0.123, 0.626, 0.626)
Tc (0.626, 0.626, 0.123)
Tc (0.626, 0.123, 0.626)
Tc (0.626, 0.626, 0.626)
Sc (0.000, 0.000, 0.000)
U (0.250, 0.250, 0.250)

# UZn5Rh6

An optimized crystal structure of UZn5Rh6 (PBE-GGA, Alexandria).

Summary:
symmetry = Cmmm (65)
E_form = -525 meV per atom
spin magnetization = 0.22 μB/cell

a b c (Å): 4.398 6.243 6.830
angles (deg): 90.00 71.22 90.00
Positions (direct):
Rh (0.836, 0.749, 0.329)
Rh (0.836, 0.251, 0.329)
Rh (0.500, 0.259, 0.000)
Rh (0.164, 0.251, 0.671)
Rh (0.164, 0.749, 0.671)
Rh (0.500, 0.741, 0.000)
Zn (0.332, 0.500, 0.337)
Zn (0.000, 0.500, 0.000)
Zn (0.672, 0.000, 0.655)
Zn (0.668, 0.500, 0.663)
Zn (0.328, 0.000, 0.345)
U (0.000, 0.000, 0.000)

# Hf2VGa2Co5

An optimized crystal structure of Hf2VGa2Co5 (PBE-GGA, Alexandria).

Summary:
symmetry = P4/mbm (127)
E_form = -243 meV per atom
spin magnetization = 0.00 μB/cell

a b c (Å): 3.323 9.083 9.083
angles (deg): 90.00 90.00 90.00
Positions (direct):
Hf (0.000, 0.329, 0.829)
Hf (0.000, 0.671, 0.171)
Hf (0.000, 0.829, 0.671)
Hf (0.000, 0.171, 0.329)
Ga (0.000, 0.628, 0.872)
Ga (0.000, 0.872, 0.372)
Ga (0.000, 0.372, 0.128)
Ga (0.000, 0.128, 0.628)
Co (0.500, 0.947, 0.197)
Co (0.500, 0.500, 0.000)
Co (0.500, 0.053, 0.803)
Co (0.500, 0.447, 0.303)
Co (0.500, 0.697, 0.447)
Co (0.500, 0.553, 0.697)
Co (0.500, 0.303, 0.553)
Co (0.500, 0.803, 0.947)
Co (0.500, 0.000, 0.500)
Co (0.500, 0.197, 0.053)
V (0.000, 0.000, 0.000)
V (0.000, 0.500, 0.500)

# NaCaGaSn

An optimized crystal structure of NaCaGaSn (PBE-GGA, Alexandria).

Summary:
symmetry = F-43m (216)
E_form = -308 meV per atom
spin magnetization = 0.00 μB/cell

a b c (Å): 5.281 5.281 5.281
angles (deg): 60.00 60.00 60.00
Positions (direct):
Ca (0.250, 0.250, 0.250)
Na (0.750, 0.750, 0.750)
Sn (0.500, 0.500, 0.500)
Ga (0.000, 0.000, 0.000)

# Y2Th2ZnGa4

An optimized crystal structure of Y2Th2ZnGa4 (PBE-GGA, Alexandria).

Summary:
symmetry = I4/mmm (139)
E_form = -253 meV per atom
spin magnetization = 0.00 μB/cell

a b c (Å): 6.626 6.626 6.626
angles (deg): 95.84 116.69 116.69
Positions (direct):
Th (0.500, 0.750, 0.250)
Th (0.500, 0.250, 0.750)
Ga (0.000, 0.246, 0.754)
Ga (0.000, 0.754, 0.246)
Ga (0.507, 0.754, 0.754)
Ga (0.493, 0.246, 0.246)
Y (0.000, 0.310, 0.310)
Y (0.000, 0.690, 0.690)
Zn (0.000, 0.000, 0.000)

# NaH9O5

An optimized crystal structure of NaH9O5 (PBE-GGA, Alexandria).

Summary:
symmetry = P1 (1)
offset from the most stable computed form = 11 meV per atom
spin magnetization = 0.17 μB/cell

a b c (Å): 4.163 7.954 9.365
angles (deg): 72.18 78.64 75.70
Positions (direct):
O (0.381, 0.079, 0.137)
O (0.292, 0.492, 0.886)
O (0.213, 0.832, 0.705)
O (0.761, 0.163, 0.305)
O (0.604, 0.883, 0.881)
O (0.032, 0.191, 0.710)
O (0.137, 0.326, 0.402)
O (0.036, 0.686, 0.270)
O (0.716, 0.479, 0.073)
O (0.859, 0.761, 0.546)
H (0.981, 0.730, 0.362)
H (0.728, 0.364, 0.152)
H (0.008, 0.793, 0.610)
H (0.528, 0.110, 0.194)
H (0.152, 0.108, 0.192)
H (0.825, 0.860, 0.821)
H (0.552, 0.481, 0.006)
H (0.778, 0.047, 0.382)
H (0.989, 0.266, 0.368)
H (0.266, 0.618, 0.815)
H (0.062, 0.255, 0.600)
H (0.374, 0.267, 0.370)
H (0.095, 0.061, 0.706)
H (0.857, 0.634, 0.593)
H (0.078, 0.551, 0.312)
H (0.075, 0.488, 0.956)
H (0.448, 0.857, 0.825)
H (0.422, 0.829, 0.634)
Na (0.463, 0.199, 0.854)
Na (0.557, 0.762, 0.142)